No. 1
DFT (PBE-GGA) results for a relaxed structure of La6Nd5Y.

Summary:
DFT formation energy: 0.0119 eV/atom
calculated density: 6.35 g/cm³
relative energy among the computed polymorphs: 0.0 meV per atom

The structure in CIF format:
```
data_La6Nd5Y
_space_group_name_H-M_alt 'I m m m'
_space_group_IT_number 71
_space_group_name_Hall '-I 2 2'
_cell_length_a 5.2618
_cell_length_b 10.3639
_cell_length_c 15.7608
_cell_angle_alpha 90.00
_cell_angle_beta 90.00
_cell_angle_gamma 90.00
loop_
_atom_site_label
_atom_site_type_symbol
_atom_site_fract_x
_atom_site_fract_y
_atom_site_fract_z
La1 La 0.0000 0.2493 0.0000
La2 La 0.0000 0.2509 0.3337
Nd1 Nd 0.0000 0.0000 0.1665
Nd2 Nd 0.0000 0.0000 0.5000
Nd3 Nd 0.0000 0.5000 0.1671
Y1 Y 0.0000 0.5000 0.5000
```

=====

No. 2
DFT (PBE-GGA) results for a relaxed structure of Cd3H2Ir.

Summary:
DFT total energy: -3.01 eV per atom
calculated density: 9.41 g/cm³

The structure in CIF format:
```
data_Cd3H2Ir
_space_group_name_H-M_alt 'P 1 21/c 1'
_space_group_IT_number 14
_space_group_name_Hall '-P 2ybc'
_cell_length_a 9.6625
_cell_length_b 5.2019
_cell_length_c 7.9881
_cell_angle_alpha 90.00
_cell_angle_beta 110.85
_cell_angle_gamma 90.00
loop_
_atom_site_label
_atom_site_type_symbol
_atom_site_fract_x
_atom_site_fract_y
_atom_site_fract_z
Cd1 Cd 0.0378 0.1432 0.1694
Cd2 Cd 0.2461 0.6350 0.1647
Cd3 Cd 0.4220 0.1415 0.3389
H1 H 0.1318 0.1198 0.4519
H2 H 0.3670 0.6008 0.4870
Ir1 Ir 0.2362 0.1070 0.9816
```

=====

No. 3
DFT (PBE-GGA) results for a relaxed structure of Rb3Fe2S4.

Summary:
uncorrected formation energy: -0.75 eV/atom
calculated density: 3.18 g/cm³

The structure in CIF format:
```
data_Rb3Fe2S4
_space_group_name_H-M_alt 'C 1 2/m 1'
_space_group_IT_number 12
_space_group_name_Hall '-C 2y'
_cell_length_a 15.4247
_cell_length_b 4.1139
_cell_length_c 9.4556
_cell_angle_alpha 90.00
_cell_angle_beta 120.24
_cell_angle_gamma 90.00
loop_
_atom_site_label
_atom_site_type_symbol
_atom_site_fract_x
_atom_site_fract_y
_atom_site_fract_z
Rb1 Rb 0.0000 0.0000 0.0000
Rb2 Rb 0.1297 0.5000 0.7363
Fe1 Fe 0.1954 0.5000 0.3733
S1 S 0.1313 0.0000 0.4203
S2 S 0.1851 0.5000 0.1341
```

=====

No. 4
DFT (PBE-GGA) results for a relaxed structure of Tb7PrDy3.

Summary:
DFT formation energy: 0.1927 eV/atom
calculated density: 7.70 g/cm³
relative energy among the computed polymorphs: 55.0 meV per atom

The structure in CIF format:
```
data_Tb7PrDy3
_space_group_name_H-M_alt 'P 3 m 1'
_space_group_IT_number 156
_space_group_name_Hall 'P 3 -2"'
_cell_length_a 7.0870
_cell_length_b 7.0870
_cell_length_c 8.6266
_cell_angle_alpha 90.00
_cell_angle_beta 90.00
_cell_angle_gamma 120.00
loop_
_atom_site_label
_atom_site_type_symbol
_atom_site_fract_x
_atom_site_fract_y
_atom_site_fract_z
Tb1 Tb 0.0000 0.0000 0.0000
Tb2 Tb 0.1654 0.3308 0.6702
Tb3 Tb 0.5010 0.0020 0.0052
Pr1 Pr 0.6667 0.3333 0.6752
Dy1 Dy 0.3321 0.1661 0.3356
```

=====

No. 5
DFT (PBE-GGA) results for a relaxed structure of Cd2OsS2.

Summary:
uncorrected formation energy: 0.86 eV/atom
calculated density: 8.31 g/cm³
relative energy among the computed polymorphs: 194.6 meV per atom

The structure in CIF format:
```
data_Cd2OsS2
_space_group_name_H-M_alt 'P 4/m b m'
_space_group_IT_number 127
_space_group_name_Hall '-P 4 2ab'
_cell_length_a 7.4513
_cell_length_b 7.4513
_cell_length_c 3.4482
_cell_angle_alpha 90.00
_cell_angle_beta 90.00
_cell_angle_gamma 90.00
loop_
_atom_site_label
_atom_site_type_symbol
_atom_site_fract_x
_atom_site_fract_y
_atom_site_fract_z
Cd1 Cd 0.1430 0.3570 0.0000
Os1 Os 0.0000 0.0000 0.0000
S1 S 0.1648 0.6648 0.5000
```

=====

No. 6
DFT (PBE-GGA) results for a relaxed structure of YZr3Ge.

Summary:
DFT formation energy: 0.1231 eV/atom
calculated density: 5.33 g/cm³
relative energy among the computed polymorphs: 0.0 meV per atom

The structure in CIF format:
```
data_YZr3Ge
_space_group_name_H-M_alt 'P m -3 m'
_space_group_IT_number 221
_space_group_name_Hall '-P 4 2 3'
_cell_length_a 5.1382
_cell_length_b 5.1382
_cell_length_c 5.1382
_cell_angle_alpha 90.00
_cell_angle_beta 90.00
_cell_angle_gamma 90.00
loop_
_atom_site_label
_atom_site_type_symbol
_atom_site_fract_x
_atom_site_fract_y
_atom_site_fract_z
Y1 Y 0.0000 0.0000 0.0000
Zr1 Zr 0.0000 0.5000 0.5000
Ge1 Ge 0.5000 0.5000 0.5000
```

=====

No. 7
DFT (PBE-GGA) results for a relaxed structure of Mg2Co2Au.

Summary:
DFT formation energy: -0.0044 eV/atom
calculated density: 7.57 g/cm³
relative energy among the computed polymorphs: 0.0 meV per atom

The structure in CIF format:
```
data_Mg2Co2Au
_space_group_name_H-M_alt 'P 4/m b m'
_space_group_IT_number 127
_space_group_name_Hall '-P 4 2ab'
_cell_length_a 6.4048
_cell_length_b 6.4048
_cell_length_c 3.8851
_cell_angle_alpha 90.00
_cell_angle_beta 90.00
_cell_angle_gamma 90.00
loop_
_atom_site_label
_atom_site_type_symbol
_atom_site_fract_x
_atom_site_fract_y
_atom_site_fract_z
Mg1 Mg 0.1752 0.3248 0.0000
Co1 Co 0.1187 0.6187 0.5000
Au1 Au 0.0000 0.0000 0.5000
```

=====

No. 8
DFT (PBE-GGA) results for a relaxed structure of MnTl2Cd.

Summary:
DFT formation energy: 0.3347 eV/atom
calculated density: 10.01 g/cm³
relative energy among the computed polymorphs: 66.3 meV per atom

The structure in CIF format:
```
data_MnTl2Cd
_space_group_name_H-M_alt 'R -3 m'
_space_group_IT_number 166
_space_group_name_Hall '-R 3 2"'
_cell_length_a 3.3982
_cell_length_b 3.3982
_cell_length_c 28.6592
_cell_angle_alpha 90.00
_cell_angle_beta 90.00
_cell_angle_gamma 120.00
loop_
_atom_site_label
_atom_site_type_symbol
_atom_site_fract_x
_atom_site_fract_y
_atom_site_fract_z
Mn1 Mn 0.0000 0.0000 0.0000
Tl1 Tl 0.0000 0.0000 0.2558
Cd1 Cd 0.0000 0.0000 0.5000
```

=====

> Look up the calculated density of the eighth one.

10.01 g/cm³

=====

> calculated density of number 2 (Cd3H2Ir)?

9.41 g/cm³

=====

> What is the calculated density in the fifth record?

8.31 g/cm³